Version 1
{
  "formula": "PtAu2Br",
  "functional": "GGA-PBE",
  "state": "optimized geometry",
  "lattice": [[5.2523, 0.0000, 0.0000], [0.0000, 5.2523, 0.0000], [0.0000, 0.0000, 2.8052]],
  "species": ["Pt", "Au", "Au", "Br"],
  "fractional_positions": [[0.0000, 0.0000, 0.0000], [0.0000, 0.5000, 0.5000], [0.5000, 0.0000, 0.5000], [0.5000, 0.5000, 0.0000]],
  "spacegroup": "P4/mmm (123)"
}


Version 2
{
  "formula": "PtAu2Br",
  "functional": "GGA-PBE",
  "state": "optimized geometry",
  "lattice": [[-1.5197, 2.2657, 6.4055], [1.5197, -2.2657, 6.4055], [1.5197, 2.2657, -6.4055]],
  "species": ["Pt", "Au", "Au", "Br"],
  "fractional_positions": [[0.0000, 0.0000, 0.0000], [0.1828, 0.6828, 0.5000], [0.5504, 0.5504, 0.0000], [0.8328, 0.3328, 0.5000]],
  "spacegroup": "Imm2 (44)"
}


The winner here is version 2, beating the second structure by 237 meV/atom.


Version 1
{
  "formula": "PtAuBr4",
  "functional": "GGA-PBE",
  "state": "optimized geometry",
  "lattice": [[2.8984, -6.1572, 0.0000], [2.8984, 6.1572, 0.0000], [-1.3553, 0.0000, 11.4279]],
  "species": ["Pt", "Pt", "Au", "Au", "Br", "Br", "Br", "Br", "Br", "Br", "Br", "Br"],
  "fractional_positions": [[0.0540, 0.9460, 0.7500], [0.9460, 0.0540, 0.2500], [0.0000, 0.5000, 0.5000], [0.5000, 0.0000, 0.0000], [0.0683, 0.6794, 0.8817], [0.1519, 0.3089, 0.6564], [0.3089, 0.1519, 0.1564], [0.3206, 0.9317, 0.6183], [0.6794, 0.0683, 0.3817], [0.6911, 0.8481, 0.8436], [0.8481, 0.6911, 0.3436], [0.9317, 0.3206, 0.1183]],
  "spacegroup": "C2/c (15)"
}


Version 2
{
  "formula": "PtAuBr4",
  "functional": "GGA-PBE",
  "state": "optimized geometry",
  "lattice": [[0.0000, 4.2402, 4.2402], [4.2402, 0.0000, 4.2402], [4.2402, 4.2402, 0.0000]],
  "species": ["Pt", "Au", "Br", "Br", "Br", "Br"],
  "fractional_positions": [[0.0000, 0.0000, 0.0000], [0.7500, 0.7500, 0.7500], [0.3750, 0.3750, 0.3750], [0.3750, 0.3750, 0.8750], [0.3750, 0.8750, 0.3750], [0.8750, 0.3750, 0.3750]],
  "spacegroup": "F-43m (216)"
}


The winner here is version 1, beating the second structure by 1297 meV/atom.


Version 1
{
  "formula": "PtAuBr",
  "functional": "GGA-PBE",
  "state": "optimized geometry",
  "lattice": [[0.0000, 2.9103, 6.1524], [1.7721, 0.0000, 6.1524], [1.7721, 2.9103, 0.0000]],
  "species": ["Pt", "Au", "Br"],
  "fractional_positions": [[0.0000, 0.0000, 0.0000], [0.3430, 0.3430, 0.6570], [0.6475, 0.6475, 0.3525]],
  "spacegroup": "Fmm2 (42)"
}


Version 2
{
  "formula": "PtAuBr",
  "functional": "GGA-PBE",
  "state": "optimized geometry",
  "lattice": [[0.0000, 3.2218, 3.2218], [3.2218, 0.0000, 3.2218], [3.2218, 3.2218, 0.0000]],
  "species": ["Pt", "Au", "Br"],
  "fractional_positions": [[0.0000, 0.0000, 0.0000], [0.7500, 0.7500, 0.7500], [0.2500, 0.2500, 0.2500]],
  "spacegroup": "F-43m (216)"
}


Version 3
{
  "formula": "PtAuBr",
  "functional": "GGA-PBE",
  "state": "optimized geometry",
  "lattice": [[-1.8813, 1.8929, 4.9702], [1.8813, -1.8929, 4.9702], [1.8813, 1.8929, -4.9702]],
  "species": ["Pt", "Au", "Br"],
  "fractional_positions": [[0.0000, 0.0000, 0.0000], [0.4706, 0.4706, 0.0000], [0.7528, 0.7528, 0.0000]],
  "spacegroup": "Imm2 (44)"
}


The winner here is version 1, beating the second structure by 13 meV/atom.


Version 1
{
  "formula": "PtAuBr",
  "functional": "GGA-PBE",
  "state": "optimized geometry",
  "lattice": [[3.5673, 0.0000, 0.0000], [-1.7837, 3.0894, 0.0000], [0.0000, 0.0000, 5.6308]],
  "species": ["Pt", "Au", "Br"],
  "fractional_positions": [[0.0000, 0.0000, 0.0000], [0.6667, 0.3333, 0.3072], [0.3333, 0.6667, 0.6885]],
  "spacegroup": "P3m1 (156)"
}


Version 2
{
  "formula": "PtAuBr",
  "functional": "GGA-PBE",
  "state": "optimized geometry",
  "lattice": [[-1.5871, 1.5871, 5.9448], [1.5871, -1.5871, 5.9448], [1.5871, 1.5871, -5.9448]],
  "species": ["Pt", "Au", "Br"],
  "fractional_positions": [[0.0000, 0.0000, 0.0000], [0.6417, 0.6417, 0.0000], [0.3452, 0.3452, 0.0000]],
  "spacegroup": "I4mm (107)"
}


The winner here is version 1, beating the second structure by 169 meV/atom.


Version 1
{
  "formula": "Rb2PtAuBr6",
  "functional": "GGA-PBE",
  "state": "optimized geometry",
  "lattice": [[3.7527, 2.1666, 13.2747], [-3.7527, 2.1666, 13.2747], [0.0000, -4.3332, 13.2747]],
  "species": ["Rb", "Rb", "Rb", "Rb", "Pt", "Pt", "Au", "Au", "Br", "Br", "Br", "Br", "Br", "Br", "Br", "Br", "Br", "Br", "Br", "Br"],
  "fractional_positions": [[0.1182, 0.1182, 0.1182], [0.3008, 0.3008, 0.3008], [0.6992, 0.6992, 0.6992], [0.8818, 0.8818, 0.8818], [0.0000, 0.0000, 0.0000], [0.5000, 0.5000, 0.5000], [0.4129, 0.4129, 0.4129], [0.5871, 0.5871, 0.5871], [0.1376, 0.6250, 0.6250], [0.2006, 0.2006, 0.7145], [0.2006, 0.7145, 0.2006], [0.2855, 0.7994, 0.7994], [0.3750, 0.3750, 0.8624], [0.3750, 0.8624, 0.3750], [0.6250, 0.1376, 0.6250], [0.6250, 0.6250, 0.1376], [0.7145, 0.2006, 0.2006], [0.7994, 0.2855, 0.7994], [0.7994, 0.7994, 0.2855], [0.8624, 0.3750, 0.3750]],
  "spacegroup": "R-3m (166)"
}


Version 2
{
  "formula": "Rb2PtAuBr6",
  "functional": "GGA-PBE",
  "state": "optimized geometry",
  "lattice": [[-3.7509, 3.7509, 5.6270], [3.7509, -3.7509, 5.6270], [3.7509, 3.7509, -5.6270]],
  "species": ["Rb", "Rb", "Pt", "Au", "Br", "Br", "Br", "Br", "Br", "Br"],
  "fractional_positions": [[0.2500, 0.7500, 0.5000], [0.7500, 0.2500, 0.5000], [0.0000, 0.0000, 0.0000], [0.5000, 0.5000, 0.0000], [0.2243, 0.2243, 0.0000], [0.2469, 0.2469, 0.4939], [0.2469, 0.7531, 0.0000], [0.7531, 0.2469, 0.0000], [0.7531, 0.7531, 0.5061], [0.7757, 0.7757, 0.0000]],
  "spacegroup": "I4/mmm (139)"
}


The winner here is version 2, beating the second structure by 40 meV/atom.


Version 1
{
  "formula": "PuAuBr",
  "functional": "GGA-PBE",
  "state": "optimized geometry",
  "lattice": [[4.0381, 0.0000, 0.0000], [-2.0190, 3.4971, 0.0000], [0.0000, 0.0000, 12.6376]],
  "species": ["Pu", "Pu", "Au", "Au", "Br", "Br"],
  "fractional_positions": [[0.3333, 0.6667, 0.2143], [0.6667, 0.3333, 0.7857], [0.3333, 0.6667, 0.9361], [0.6667, 0.3333, 0.0639], [0.3333, 0.6667, 0.6364], [0.6667, 0.3333, 0.3636]],
  "spacegroup": "P-3m1 (164)"
}


Version 2
{
  "formula": "PuAuBr",
  "functional": "GGA-PBE",
  "state": "optimized geometry",
  "lattice": [[3.9839, 0.0000, 0.0000], [0.0000, 3.9839, 0.0000], [0.0000, 0.0000, 9.6908]],
  "species": ["Pu", "Pu", "Au", "Au", "Br", "Br"],
  "fractional_positions": [[0.2500, 0.2500, 0.2479], [0.7500, 0.7500, 0.7521], [0.2500, 0.7500, 0.0000], [0.7500, 0.2500, 0.0000], [0.2500, 0.2500, 0.6218], [0.7500, 0.7500, 0.3782]],
  "spacegroup": "P4/nmm (129)"
}


The winner here is version 2, beating the second structure by 13 meV/atom.


Version 1
{
  "formula": "Rb3AuBr6",
  "functional": "GGA-PBE",
  "state": "optimized geometry",
  "lattice": [[-4.2285, 4.2285, 5.6993], [4.2285, -4.2285, 5.6993], [4.2285, 4.2285, -5.6993]],
  "species": ["Rb", "Rb", "Rb", "Au", "Br", "Br", "Br", "Br", "Br", "Br"],
  "fractional_positions": [[0.0000, 0.0000, 0.0000], [0.2500, 0.7500, 0.5000], [0.7500, 0.2500, 0.5000], [0.5000, 0.5000, 0.0000], [0.2688, 0.2688, 0.5376], [0.2688, 0.7312, 0.0000], [0.2815, 0.2815, 0.0000], [0.7185, 0.7185, 0.0000], [0.7312, 0.2688, 0.0000], [0.7312, 0.7312, 0.4624]],
  "spacegroup": "I4/mmm (139)"
}


Version 2
{
  "formula": "Rb3AuBr6",
  "functional": "GGA-PBE",
  "state": "optimized geometry",
  "lattice": [[5.4240, 0.0000, 0.0000], [0.0000, 8.1168, 0.0000], [-4.9293, 0.0000, 18.6326]],
  "species": ["Rb", "Rb", "Rb", "Rb", "Rb", "Rb", "Au", "Au", "Br", "Br", "Br", "Br", "Br", "Br", "Br", "Br", "Br", "Br", "Br", "Br"],
  "fractional_positions": [[0.0000, 0.0000, 0.0000], [0.0000, 0.5000, 0.5000], [0.2000, 0.1328, 0.7113], [0.2000, 0.3672, 0.2113], [0.8000, 0.6328, 0.7887], [0.8000, 0.8672, 0.2887], [0.5000, 0.0000, 0.5000], [0.5000, 0.5000, 0.0000], [0.1783, 0.1645, 0.4093], [0.1783, 0.3355, 0.9093], [0.2080, 0.5524, 0.6856], [0.2080, 0.9476, 0.1856], [0.4190, 0.7435, 0.9194], [0.4190, 0.7565, 0.4194], [0.5810, 0.2435, 0.5806], [0.5810, 0.2565, 0.0806], [0.7920, 0.0524, 0.8144], [0.7920, 0.4476, 0.3144], [0.8217, 0.6645, 0.0907], [0.8217, 0.8355, 0.5907]],
  "spacegroup": "P2_1/c (14)"
}


The winner here is version 2, beating the second structure by 142 meV/atom.


Version 1
{
  "formula": "RbAu2Br2",
  "functional": "GGA-PBE",
  "state": "optimized geometry",
  "lattice": [[-2.6710, 2.6710, 5.1726], [2.6710, -2.6710, 5.1726], [2.6710, 2.6710, -5.1726]],
  "species": ["Rb", "Au", "Au", "Br", "Br"],
  "fractional_positions": [[0.0000, 0.0000, 0.0000], [0.3701, 0.3701, 0.0000], [0.6299, 0.6299, 0.0000], [0.2500, 0.7500, 0.5000], [0.7500, 0.2500, 0.5000]],
  "spacegroup": "I4/mmm (139)"
}


Version 2
{
  "formula": "RbAu2Br2",
  "functional": "GGA-PBE",
  "state": "optimized geometry",
  "lattice": [[8.5956, 0.0000, 0.0000], [0.0000, 8.5956, 0.0000], [0.0000, 0.0000, 4.0397]],
  "species": ["Rb", "Rb", "Au", "Au", "Au", "Au", "Br", "Br", "Br", "Br"],
  "fractional_positions": [[0.0000, 0.0000, 0.0000], [0.5000, 0.5000, 0.0000], [0.1078, 0.3922, 0.0000], [0.3922, 0.8922, 0.0000], [0.6078, 0.1078, 0.0000], [0.8922, 0.6078, 0.0000], [0.2381, 0.7381, 0.5000], [0.2619, 0.2381, 0.5000], [0.7381, 0.7619, 0.5000], [0.7619, 0.2619, 0.5000]],
  "spacegroup": "P4/mbm (127)"
}


The winner here is version 2, beating the second structure by 6 meV/atom.


Version 1
{
  "formula": "RbAuSeBr2",
  "functional": "GGA-PBE",
  "state": "optimized geometry",
  "lattice": [[6.3949, 0.0000, 0.0000], [0.0000, 6.3949, 0.0000], [0.0000, 0.0000, 6.4220]],
  "species": ["Rb", "Au", "Se", "Br", "Br"],
  "fractional_positions": [[0.0000, 0.0000, 0.0000], [0.5000, 0.5000, 0.5000], [0.0000, 0.0000, 0.5000], [0.0000, 0.5000, 0.0000], [0.5000, 0.0000, 0.0000]],
  "spacegroup": "P4/mmm (123)"
}


Version 2
{
  "formula": "RbAuSeBr2",
  "functional": "GGA-PBE",
  "state": "optimized geometry",
  "lattice": [[5.5564, 0.0000, 0.0000], [0.0000, 5.5564, 0.0000], [0.0000, 0.0000, 5.1343]],
  "species": ["Rb", "Au", "Se", "Br", "Br"],
  "fractional_positions": [[0.0000, 0.0000, 0.0000], [0.5000, 0.5000, 0.5000], [0.5000, 0.5000, 0.0000], [0.0000, 0.5000, 0.5000], [0.5000, 0.0000, 0.5000]],
  "spacegroup": "P4/mmm (123)"
}


The winner here is version 2, beating the second structure by 1069 meV/atom.


Version 1
{
  "formula": "ReAuBr2",
  "functional": "GGA-PBE",
  "state": "optimized geometry",
  "lattice": [[3.1756, -4.4394, 0.0000], [3.1756, 4.4394, 0.0000], [-1.0052, 0.0000, 3.1157]],
  "species": ["Re", "Au", "Br", "Br"],
  "fractional_positions": [[0.0000, 0.0000, 0.0000], [0.5000, 0.5000, 0.0000], [0.0000, 0.5000, 0.0000], [0.5000, 0.0000, 0.0000]],
  "spacegroup": "C2/m (12)"
}


Version 2
{
  "formula": "ReAuBr2",
  "functional": "GGA-PBE",
  "state": "optimized geometry",
  "lattice": [[3.0896, 0.0000, 0.0000], [0.0000, 3.0896, 0.0000], [0.0000, 0.0000, 9.1709]],
  "species": ["Re", "Au", "Br", "Br"],
  "fractional_positions": [[0.0000, 0.0000, 0.0000], [0.0000, 0.0000, 0.5000], [0.5000, 0.5000, 0.1745], [0.5000, 0.5000, 0.8255]],
  "spacegroup": "P4/mmm (123)"
}


The winner here is version 2, beating the second structure by 141 meV/atom.


Version 1
{
  "formula": "ReAuBr2",
  "functional": "GGA-PBE",
  "state": "optimized geometry",
  "lattice": [[4.7091, 0.0000, 0.0000], [0.0000, 4.7091, 0.0000], [0.0000, 0.0000, 3.8953]],
  "species": ["Re", "Au", "Br", "Br"],
  "fractional_positions": [[0.0000, 0.0000, 0.0000], [0.5000, 0.5000, 0.0000], [0.0000, 0.5000, 0.5000], [0.5000, 0.0000, 0.5000]],
  "spacegroup": "P4/mmm (123)"
}


Version 2
{
  "formula": "ReAuBr2",
  "functional": "GGA-PBE",
  "state": "optimized geometry",
  "lattice": [[3.1758, 0.0000, 0.0000], [0.0000, 4.4904, 0.0000], [0.0000, 0.0000, 6.1619]],
  "species": ["Re", "Au", "Br", "Br"],
  "fractional_positions": [[0.0000, 0.0000, 0.0000], [0.5000, 0.0000, 0.5000], [0.0000, 0.5000, 0.5000], [0.5000, 0.5000, 0.0000]],
  "spacegroup": "Pmmm (47)"
}


The winner here is version 2, beating the second structure by 206 meV/atom.


Version 1
{
  "formula": "Re3AuBr",
  "functional": "GGA-PBE",
  "state": "optimized geometry",
  "lattice": [[4.5400, 0.0000, 0.0000], [0.0000, 4.5400, 0.0000], [0.0000, 0.0000, 4.5400]],
  "species": ["Re", "Re", "Re", "Au", "Br"],
  "fractional_positions": [[0.0000, 0.0000, 0.5000], [0.0000, 0.5000, 0.0000], [0.5000, 0.0000, 0.0000], [0.5000, 0.5000, 0.5000], [0.0000, 0.0000, 0.0000]],
  "spacegroup": "Pm-3m (221)"
}


Version 2
{
  "formula": "Re3AuBr",
  "functional": "GGA-PBE",
  "state": "optimized geometry",
  "lattice": [[5.1780, 0.0000, 0.0000], [0.0000, 5.1780, 0.0000], [0.0000, 0.0000, 5.1780]],
  "species": ["Re", "Re", "Re", "Au", "Br"],
  "fractional_positions": [[0.0000, 0.0000, 0.5000], [0.0000, 0.5000, 0.0000], [0.5000, 0.0000, 0.0000], [0.0000, 0.0000, 0.0000], [0.5000, 0.5000, 0.5000]],
  "spacegroup": "Pm-3m (221)"
}


The winner here is version 1, beating the second structure by 719 meV/atom.


Version 1
{
  "formula": "RhAu2Br",
  "functional": "GGA-PBE",
  "state": "optimized geometry",
  "lattice": [[3.0818, 0.0000, 0.0000], [0.0000, 3.0818, 0.0000], [0.0000, 0.0000, 8.0646]],
  "species": ["Rh", "Au", "Au", "Br"],
  "fractional_positions": [[0.0000, 0.0000, 0.0000], [0.0000, 0.0000, 0.4594], [0.5000, 0.5000, 0.2262], [0.5000, 0.5000, 0.7964]],
  "spacegroup": "P4mm (99)"
}


Version 2
{
  "formula": "RhAu2Br",
  "functional": "GGA-PBE",
  "state": "optimized geometry",
  "lattice": [[3.0804, 0.0000, 0.0000], [0.0000, 3.5678, 0.0000], [-0.0512, 0.0000, 7.3168]],
  "species": ["Rh", "Au", "Au", "Br"],
  "fractional_positions": [[0.0000, 0.0000, 0.0000], [0.0060, 0.0000, 0.4194], [0.5027, 0.5000, 0.2051], [0.9954, 0.5000, 0.7634]],
  "spacegroup": "Pm (6)"
}


The winner here is version 2, beating the second structure by 105 meV/atom.